Below is a crystal of CdInFe relaxed with PBEsol, with properties calculated at the meta-GGA SCAN level.

```
data_CdInFe
_chemical_formula_sum 'Cd1 In1 Fe1'
_cell_length_a 4.5399
_cell_length_b 4.5399
_cell_length_c 2.9404
_cell_angle_alpha 90.00
_cell_angle_beta 90.00
_cell_angle_gamma 120.00
_space_group_name_H-M_alt 'P 3 m 1'
_space_group_IT_number 156
_space_group_name_Hall 'P 3 -2"'
loop_
_atom_site_label
_atom_site_fract_x
_atom_site_fract_y
_atom_site_fract_z
Cd1 0.0000 0.0000 0.0000
In1 0.3333 0.6667 0.3582
Fe1 0.6667 0.3333 0.6480
```

=====

Below is a crystal of CdIn2Fe relaxed with PBEsol, with properties calculated at the meta-GGA SCAN level.

```
data_CdIn2Fe
_chemical_formula_sum 'Cd2 In4 Fe2'
_cell_length_a 4.101
_cell_length_b 4.101
_cell_length_c 8.896
_cell_angle_alpha 90.00
_cell_angle_beta 90.00
_cell_angle_gamma 90.00
_space_group_name_H-M_alt 'I -4 m 2'
_space_group_IT_number 119
_space_group_name_Hall 'I -4 -2'
loop_
_atom_site_label
_atom_site_fract_x
_atom_site_fract_y
_atom_site_fract_z
Cd1 0.000 0.000 0.000
In1 0.000 0.000 0.500
In2 0.000 0.500 0.750
Fe1 0.000 0.500 0.250
```

=====

Below is a crystal of CdIn2Fe relaxed with PBEsol, with properties calculated at the meta-GGA SCAN level.

```
data_CdIn2Fe
_chemical_formula_sum 'Cd2 In4 Fe2'
_cell_length_a 4.172
_cell_length_b 4.172
_cell_length_c 8.573
_cell_angle_alpha 90.00
_cell_angle_beta 90.00
_cell_angle_gamma 90.00
_space_group_name_H-M_alt 'I 4/m m m'
_space_group_IT_number 139
_space_group_name_Hall '-I 4 2'
loop_
_atom_site_label
_atom_site_fract_x
_atom_site_fract_y
_atom_site_fract_z
Cd1 0.000 0.000 0.000
In1 0.000 0.500 0.250
Fe1 0.000 0.000 0.500
```

=====

Below is a crystal of CdIn2Fe relaxed with PBEsol, with properties calculated at the meta-GGA SCAN level.

```
data_CdIn2Fe
_chemical_formula_sum 'Cd1 In2 Fe1'
_cell_length_a 2.979
_cell_length_b 2.979
_cell_length_c 8.855
_cell_angle_alpha 90.00
_cell_angle_beta 90.00
_cell_angle_gamma 90.00
_space_group_name_H-M_alt 'P 4 m m'
_space_group_IT_number 99
_space_group_name_Hall 'P 4 -2'
loop_
_atom_site_label
_atom_site_fract_x
_atom_site_fract_y
_atom_site_fract_z
Cd1 0.000 0.000 0.000
In1 0.000 0.000 0.406
In2 0.500 0.500 0.714
Fe1 0.500 0.500 0.203
```

=====

Below is a crystal of CdFeIr4 relaxed with PBEsol, with properties calculated at the meta-GGA SCAN level.

```
data_CdFeIr4
_chemical_formula_sum 'Cd4 Fe4 Ir16'
_cell_length_a 7.263
_cell_length_b 7.263
_cell_length_c 7.263
_cell_angle_alpha 90.00
_cell_angle_beta 90.00
_cell_angle_gamma 90.00
_space_group_name_H-M_alt 'F -4 3 m'
_space_group_IT_number 216
_space_group_name_Hall 'F -4 2 3'
loop_
_atom_site_label
_atom_site_fract_x
_atom_site_fract_y
_atom_site_fract_z
Cd1 0.000 0.000 0.000
Fe1 0.250 0.250 0.750
Ir1 0.125 0.125 0.375
```

=====

Below is a crystal of CdFeIr relaxed with PBEsol, with properties calculated at the meta-GGA SCAN level.

```
data_CdFeIr
_chemical_formula_sum 'Cd4 Fe4 Ir4'
_cell_length_a 6.020
_cell_length_b 6.020
_cell_length_c 6.020
_cell_angle_alpha 90.00
_cell_angle_beta 90.00
_cell_angle_gamma 90.00
_space_group_name_H-M_alt 'F -4 3 m'
_space_group_IT_number 216
_space_group_name_Hall 'F -4 2 3'
loop_
_atom_site_label
_atom_site_fract_x
_atom_site_fract_y
_atom_site_fract_z
Cd1 0.000 0.000 0.000
Fe1 0.000 0.000 0.500
Ir1 0.250 0.250 0.250
```

=====

Below is a crystal of CdFe2Ir relaxed with PBEsol, with properties calculated at the meta-GGA SCAN level.

```
data_CdFe2Ir
_chemical_formula_sum 'Cd2 Fe4 Ir2'
_cell_length_a 2.864
_cell_length_b 4.510
_cell_length_c 8.709
_cell_angle_alpha 90.00
_cell_angle_beta 90.00
_cell_angle_gamma 90.00
_space_group_name_H-M_alt 'C m m 2'
_space_group_IT_number 35
_space_group_name_Hall 'C 2 -2'
loop_
_atom_site_label
_atom_site_fract_x
_atom_site_fract_y
_atom_site_fract_z
Cd1 0.000 0.000 0.000
Fe1 0.000 0.000 0.479
Fe2 0.000 0.500 0.267
Ir1 0.000 0.500 0.717
```

=====

Below is a crystal of NaCdFeIr2 relaxed with PBEsol, with properties calculated at the meta-GGA SCAN level.

```
data_NaCdFeIr2
_chemical_formula_sum 'Na1 Cd1 Fe1 Ir2'
_cell_length_a 4.405
_cell_length_b 4.405
_cell_length_c 4.700
_cell_angle_alpha 90.00
_cell_angle_beta 90.00
_cell_angle_gamma 90.00
_space_group_name_H-M_alt 'P 4/m m m'
_space_group_IT_number 123
_space_group_name_Hall '-P 4 2'
loop_
_atom_site_label
_atom_site_fract_x
_atom_site_fract_y
_atom_site_fract_z
Na1 0.000 0.000 0.000
Cd1 0.500 0.500 0.000
Fe1 0.000 0.000 0.500
Ir1 0.000 0.500 0.500
```

=====

Below is a crystal of KCd2Fe relaxed with PBEsol, with properties calculated at the meta-GGA SCAN level.

```
data_KCd2Fe
_chemical_formula_sum 'K2 Cd4 Fe2'
_cell_length_a 5.010
_cell_length_b 5.010
_cell_length_c 7.173
_cell_angle_alpha 90.00
_cell_angle_beta 90.00
_cell_angle_gamma 90.00
_space_group_name_H-M_alt 'I 4/m m m'
_space_group_IT_number 139
_space_group_name_Hall '-I 4 2'
loop_
_atom_site_label
_atom_site_fract_x
_atom_site_fract_y
_atom_site_fract_z
K1 0.000 0.000 0.000
Cd1 0.000 0.500 0.250
Fe1 0.000 0.000 0.500
```

=====

Below is a crystal of KCdFe2 relaxed with PBEsol, with properties calculated at the meta-GGA SCAN level.

```
data_KCdFe2
_chemical_formula_sum 'K1 Cd1 Fe2'
_cell_length_a 3.048
_cell_length_b 3.048
_cell_length_c 8.343
_cell_angle_alpha 90.00
_cell_angle_beta 90.00
_cell_angle_gamma 90.00
_space_group_name_H-M_alt 'P 4 m m'
_space_group_IT_number 99
_space_group_name_Hall 'P 4 -2'
loop_
_atom_site_label
_atom_site_fract_x
_atom_site_fract_y
_atom_site_fract_z
K1 0.000 0.000 0.000
Cd1 0.500 0.500 0.345
Fe1 0.000 0.000 0.567
Fe2 0.500 0.500 0.682
```

=====

Below is a crystal of KCdFe2 relaxed with PBEsol, with properties calculated at the meta-GGA SCAN level.

```
data_KCdFe2
_chemical_formula_sum 'K1 Cd1 Fe2'
_cell_length_a 2.758
_cell_length_b 5.120
_cell_length_c 5.160
_cell_angle_alpha 90.00
_cell_angle_beta 90.00
_cell_angle_gamma 90.00
_space_group_name_H-M_alt 'P m m m'
_space_group_IT_number 47
_space_group_name_Hall '-P 2 2'
loop_
_atom_site_label
_atom_site_fract_x
_atom_site_fract_y
_atom_site_fract_z
K1 0.000 0.000 0.000
Cd1 0.500 0.000 0.500
Fe1 0.000 0.500 0.500
Fe2 0.500 0.500 0.000
```

=====

Below is a crystal of KCdFe2 relaxed with PBEsol, with properties calculated at the meta-GGA SCAN level.

```
data_KCdFe2
_chemical_formula_sum 'K2 Cd2 Fe4'
_cell_length_a 5.802
_cell_length_b 9.713
_cell_length_c 2.701
_cell_angle_alpha 90.00
_cell_angle_beta 110.43
_cell_angle_gamma 90.00
_space_group_name_H-M_alt 'C 1 2/m 1'
_space_group_IT_number 12
_space_group_name_Hall '-C 2y'
loop_
_atom_site_label
_atom_site_fract_x
_atom_site_fract_y
_atom_site_fract_z
K1 0.000 0.000 0.000
Cd1 0.000 0.500 0.000
Fe1 0.250 0.250 0.500
```

=====

| no. | ΔE_f (eV per atom) |
| --- | --- |
| 1 | 0.349 |
| 2 | 0.287 |
| 3 | 0.289 |
| 4 | 0.219 |
| 5 | 0.303 |
| 6 | 0.449 |
| 7 | 0.149 |
| 8 | 1.021 |
| 9 | 0.539 |
| 10 | 0.444 |
| 11 | 0.965 |
| 12 | 0.952 |